Entry from Alexandria: a relaxed structure of MoRhSe2 (GGA-PBE).

Cell: 3.175 3.175 6.305 Å, 90.00 90.00 90.00°
Fractional coordinates of all 4 atoms:
Mo (0.000, 0.000, 0.000)
Rh (0.000, 0.000, 0.500)
Se (0.500, 0.500, 0.240)
Se (0.500, 0.500, 0.760)

Its density of states at the Fermi level is 1.08 states/eV per atom. The formation energy without anion corrections comes out at -0.45 kcal/mol of atoms. The value obtained for the energy above the most stable polymorph in this dataset is 155 meV per atom. The spin magnetization is 0.00 μB/cell. The value obtained for the theoretical density is 9.3 g cm⁻³.


Entry from Alexandria: a relaxed structure of AsIrI2O (GGA-PBE).

Cell: 5.556 5.556 3.670 Å, 90.00 90.00 90.00°
Fractional coordinates of all 5 atoms:
As (0.000, 0.000, 0.000)
Ir (0.500, 0.500, 0.500)
I (0.000, 0.500, 0.000)
I (0.500, 0.000, 0.000)
O (0.000, 0.000, 0.500)

Its density of states at the Fermi level is 0.75 states/eV per atom. The formation energy without anion corrections comes out at 16.64 kcal/mol of atoms. The value obtained for the energy above the most stable polymorph in this dataset is 458 meV per atom. The spin magnetization is 0.00 μB/cell. The value obtained for the theoretical density is 7.9 g cm⁻³.


Entry from Alexandria: a relaxed structure of Pr2Sn3Rh (GGA-PBE).

Cell: 6.143 6.143 7.537 Å, 126.42 126.42 45.64°
Fractional coordinates of all 6 atoms:
Pr (0.000, 0.000, 0.000)
Pr (0.118, 0.118, 0.598)
Sn (0.386, 0.386, 0.206)
Sn (0.670, 0.670, 0.931)
Sn (0.743, 0.743, 0.417)
Rh (0.375, 0.375, 0.557)

Its density of states at the Fermi level is 0.67 states/eV per atom. The spin magnetization is 0.00 μB/cell. The value obtained for the theoretical density is 7.9 g cm⁻³. As for the calculated formation energy: -701 meV/atom.


Entry from Alexandria: a relaxed structure of AlAg2Br (GGA-PBE).

Cell: 4.965 4.965 4.965 Å, 60.00 60.00 60.00°
Fractional coordinates of all 4 atoms:
Al (0.000, 0.000, 0.000)
Ag (0.250, 0.250, 0.250)
Ag (0.750, 0.750, 0.750)
Br (0.500, 0.500, 0.500)

Its density of states at the Fermi level is 0.70 states/eV per atom. The formation energy without anion corrections comes out at 8.31 kcal/mol of atoms. The value obtained for the energy above the most stable polymorph in this dataset is 378 meV per atom. The spin magnetization is 0.00 μB/cell. The value obtained for the theoretical density is 6.2 g cm⁻³.


Entry from Alexandria: a relaxed structure of CeBBr (GGA-PBE).

Cell: 4.074 5.975 7.810 Å, 67.60 82.98 89.60°
Fractional coordinates of all 6 atoms:
Ce (0.208, 0.134, 0.230)
Ce (0.792, 0.866, 0.770)
B (0.336, 0.941, 0.566)
B (0.664, 0.059, 0.434)
Br (0.216, 0.690, 0.119)
Br (0.784, 0.310, 0.881)

Its density of states at the Fermi level is 1.58 states/eV per atom. The formation energy without anion corrections comes out at -12.37 kcal/mol of atoms. The value obtained for the energy above the most stable polymorph in this dataset is 429 meV per atom. The spin magnetization is 1.26 μB/cell. The value obtained for the theoretical density is 4.4 g cm⁻³.


Entry from Alexandria: a relaxed structure of CaZr3Ru (GGA-PBE).

Cell: 4.866 4.866 4.866 Å, 90.00 90.00 90.00°
Fractional coordinates of all 5 atoms:
Ca (0.000, 0.000, 0.000)
Zr (0.000, 0.000, 0.500)
Zr (0.000, 0.500, 0.000)
Zr (0.500, 0.000, 0.000)
Ru (0.500, 0.500, 0.500)

Its density of states at the Fermi level is 1.27 states/eV per atom. The value obtained for the energy above the most stable polymorph in this dataset is 1742 meV per atom. The spin magnetization is 0.00 μB/cell. The value obtained for the theoretical density is 6.0 g cm⁻³. As for the calculated formation energy: 1925 meV/atom.


- Among the records above, which one has the highest theoretical density?
  MoRhSe2


- The lowest density of states at the Fermi level belongs to which entry?
  Pr2Sn3Rh